5
Lattice="4.518 0.000 0.000 0.000 4.518 0.000 0.000 0.000 4.518" Properties=species:S:1:pos:R:3 comment="TaRh3Se | Alexandria via LeMat-Bulk | GGA-PBE | relaxed" e_above_lowest_polymorph_ev_per_fu=0.00 energy_ev_per_fu=-33.6 n_ef_per_ev_fu=9.56 sg="Pm-3m, No. 221" pbc="T T T"
Ta 0.000 0.000 0.000
Rh 0.000 2.259 2.259
Rh 2.259 0.000 2.259
Rh 2.259 2.259 0.000
Se 2.259 2.259 2.259

***

8
Lattice="9.583 0.000 0.000 0.000 3.146 0.000 -0.933 0.000 4.497" Properties=species:S:1:pos:R:3 comment="Ta2RhSe | Alexandria via LeMat-Bulk | GGA-PBE | relaxed" energy_ev_per_fu=-34.6 n_ef_per_ev_fu=2.45 sg="C2/m, No. 12" pbc="T T T"
Ta 2.147 0.000 1.066
Ta 1.712 1.573 3.431
Ta 6.938 1.573 1.066
Ta 6.503 0.000 3.431
Rh 0.000 1.573 0.000
Rh 4.791 0.000 0.000
Se -0.467 0.000 2.249
Se 4.325 1.573 2.249

***

8
Lattice="8.845 0.000 0.000 0.000 3.279 0.000 -0.916 0.000 4.469" Properties=species:S:1:pos:R:3 comment="TaRh2Se | Alexandria via LeMat-Bulk | GGA-PBE | relaxed" energy_ev_per_fu=-31.0 n_ef_per_ev_fu=2.55 sg="C2/m, No. 12" pbc="T T T"
Ta 0.000 0.000 0.000
Ta 4.423 1.640 0.000
Rh 1.861 1.640 1.021
Rh 1.646 0.000 3.447
Rh 6.283 0.000 1.021
Rh 6.069 1.640 3.447
Se -0.458 1.640 2.234
Se 3.965 0.000 2.234

***

6
Lattice="1.731 0.999 11.929 -1.731 0.999 11.929 0.000 -1.999 11.929" Properties=species:S:1:pos:R:3 comment="TaRhSe | Alexandria via LeMat-Bulk | GGA-PBE | relaxed" e_above_lowest_polymorph_ev_per_fu=0.00 energy_ev_per_fu=-23.7 n_ef_per_ev_fu=1.08 sg="R-3m, No. 166" pbc="T T T"
Ta 0.000 0.000 2.529
Ta 0.000 0.000 33.257
Rh 0.000 0.000 12.865
Rh 0.000 0.000 22.921
Se 0.000 0.000 7.663
Se 0.000 0.000 28.123

***

5
Lattice="4.667 0.000 0.000 0.000 4.667 0.000 0.000 0.000 4.576" Properties=species:S:1:pos:R:3 comment="TaTc2RhSe | Alexandria via LeMat-Bulk | GGA-PBE | relaxed" energy_ev_per_fu=-35.3 n_ef_per_ev_fu=6.24 sg="P4/mmm, No. 123" pbc="T T T"
Ta 0.000 0.000 0.000
Tc 0.000 2.334 2.288
Tc 2.334 0.000 2.288
Rh 2.334 2.334 2.288
Se 2.334 2.334 0.000

***

11
Lattice="3.180 -5.560 0.000 3.180 5.560 0.000 -2.035 0.000 7.965" Properties=species:S:1:pos:R:3 comment="TaTl2Rh2Se6 | Alexandria via LeMat-Bulk | GGA-PBE | relaxed" energy_ev_per_fu=-57.1 n_ef_per_ev_fu=5.39 sg="C2/m, No. 12" pbc="T T T"
Ta 0.000 0.000 0.000
Tl 2.163 3.771 3.983
Tl 2.163 -3.771 3.983
Rh 3.180 1.851 0.000
Rh 3.180 -1.851 0.000
Se 1.076 1.906 1.427
Se 0.140 0.000 6.526
Se 1.076 -1.906 1.427
Se 3.250 1.906 6.538
Se 4.185 0.000 1.439
Se 3.250 -1.906 6.538

***

11
Lattice="3.032 -5.476 0.000 3.032 5.476 0.000 -1.696 0.000 8.669" Properties=species:S:1:pos:R:3 comment="Ta2Tl2RhSe6 | Alexandria via LeMat-Bulk | GGA-PBE | relaxed" energy_ev_per_fu=-62.6 n_ef_per_ev_fu=4.20 sg="C2/m, No. 12" pbc="T T T"
Ta 3.032 4.003 0.000
Ta 3.032 -4.003 0.000
Tl 2.183 2.196 4.334
Tl 2.183 -2.196 4.334
Rh 3.032 0.000 0.000
Se 0.388 1.884 7.213
Se 1.140 0.000 1.779
Se 0.388 -1.884 7.213
Se 3.979 1.884 1.455
Se 3.227 0.000 6.890
Se 3.979 -1.884 1.455

***

12
Lattice="3.136 -5.441 0.000 3.136 5.441 0.000 -2.100 0.000 8.629" Properties=species:S:1:pos:R:3 comment="TaTl3Rh2Se6 | Alexandria via LeMat-Bulk | GGA-PBE | relaxed" energy_ev_per_fu=-59.6 n_ef_per_ev_fu=4.50 sg="C2/m, No. 12" pbc="T T T"
Ta 0.000 0.000 0.000
Tl 2.086 3.598 4.314
Tl 2.086 0.000 4.314
Tl 2.086 -3.598 4.314
Rh 3.136 1.808 0.000
Rh 3.136 -1.808 0.000
Se 1.076 1.874 1.468
Se 0.054 0.000 7.158
Se 1.076 -1.874 1.468
Se 3.096 1.874 7.160
Se 4.118 0.000 1.471
Se 3.096 -1.874 7.160